1.
Below is a geometry-optimized Ce2Th3Rh2 structure, with properties calculated at the GGA-PBE level.

Output
* formation enthalpy at 0 K: -0.469 eV/atom
* total magnetization: 2.27 Bohr magnetons per cell
* mass density: 10.32 g cm⁻³
* density of states at the Fermi level: 1.85 states/eV/atom

Cell: 11.9521 3.7912 8.9250 Å, 90.00 109.84 90.00°
Space group C2/m (No. 12)
Symmetry-distinct sites (fractional):
Ce 0.1616 0.0000 0.2970 [4 per cell]
Th 0.0000 0.5000 0.5000 [2 per cell]
Th 0.1224 0.5000 0.9389 [4 per cell]
Rh 0.1518 0.0000 0.7020 [4 per cell]


2.
Below is a geometry-optimized CeTh2Rh structure, with properties calculated at the GGA-PBE level.

Output
* formation enthalpy at 0 K: -0.351 eV/atom
* total magnetization: 0.00 Bohr magnetons per cell
* mass density: 11.29 g cm⁻³
* density of states at the Fermi level: 1.27 states/eV/atom

Cell: 3.6545 3.6545 7.7878 Å, 90.00 90.00 90.00°
Space group P4/mmm (No. 123)
Symmetry-distinct sites (fractional):
Ce 0.0000 0.0000 0.0000 [1 per cell]
Th 0.5000 0.5000 0.2838 [2 per cell]
Rh 0.0000 0.0000 0.5000 [1 per cell]


3.
Below is a geometry-optimized CeTh2Rh structure, with properties calculated at the GGA-PBE level.

Output
* formation enthalpy at 0 K: -0.261 eV/atom
* total magnetization: 3.32 Bohr magnetons per cell
* mass density: 10.01 g cm⁻³
* density of states at the Fermi level: 1.94 states/eV/atom

Cell: 3.8201 3.8201 27.8508 Å, 90.00 90.00 120.00°
Space group R3m (No. 160, hexagonal axes)
Symmetry-distinct sites (fractional):
Ce 0.0000 0.0000 0.0000 [3 per cell]
Th 0.0000 0.0000 0.2299 [3 per cell]
Th 0.0000 0.0000 0.4337 [3 per cell]
Rh 0.0000 0.0000 0.8319 [3 per cell]


4.
Below is a geometry-optimized CeTh2Rh structure, with properties calculated at the GGA-PBE level.

Output
* formation enthalpy at 0 K: -0.045 eV/atom
* total magnetization: 3.27 Bohr magnetons per cell
* mass density: 9.79 g cm⁻³
* density of states at the Fermi level: 2.19 states/eV/atom

Cell: 3.6895 3.6895 30.5332 Å, 90.00 90.00 120.00°
Space group R-3m (No. 166, hexagonal axes)
Symmetry-distinct sites (fractional):
Ce 0.0000 0.0000 0.0000 [3 per cell]
Th 0.0000 0.0000 0.1054 [6 per cell]
Rh 0.0000 0.0000 0.5000 [3 per cell]


5.
Below is a geometry-optimized CeThRh2 structure, with properties calculated at the GGA-PBE level.

Output
* formation enthalpy at 0 K: -0.700 eV/atom
* total magnetization: 0.70 Bohr magnetons per cell
* mass density: 10.89 g cm⁻³
* density of states at the Fermi level: 1.49 states/eV/atom

Cell: 3.5338 3.5338 7.0572 Å, 90.00 90.00 90.00°
Space group P4/mmm (No. 123)
Symmetry-distinct sites (fractional):
Ce 0.0000 0.0000 0.0000 [1 per cell]
Th 0.0000 0.0000 0.5000 [1 per cell]
Rh 0.5000 0.5000 0.2560 [2 per cell]


6.
Below is a geometry-optimized CeThRh structure, with properties calculated at the GGA-PBE level.

Output
* formation enthalpy at 0 K: -0.392 eV/atom
* total magnetization: 0.00 Bohr magnetons per cell
* mass density: 10.86 g cm⁻³
* density of states at the Fermi level: 1.26 states/eV/atom

Cell: 4.6006 4.6006 3.9626 Å, 90.00 90.00 120.00°
Space group P3m1 (No. 156)
Symmetry-distinct sites (fractional):
Ce 0.0000 0.0000 0.0000 [1 per cell]
Th 0.6667 0.3333 0.3744 [1 per cell]
Rh 0.3333 0.6667 0.6854 [1 per cell]